[1]
An optimized crystal structure of Ta2CuPd, computed with PBE.

Output
Crystal system: tetragonal
ΔE_f, eV/atom: 0.4135
E, eV/cell: -125.36

a = 7.1913 Å, b = 7.1913 Å, c = 5.2534 Å
α = 90.00°, β = 90.00°, γ = 90.00°
With the nearest neighbours (Å) after each atom.
Fractional positions:
Ta  0.2359  0.2500  0.1250  2 Cu 2.56, 2 Ta 2.63, 2 Pd 2.70
Ta  0.2500  0.7359  0.3750  2 Cu 2.56, 2 Ta 2.63, 2 Pd 2.70
Ta  0.2500  0.7641  0.8750  2 Cu 2.56, 2 Ta 2.63, 2 Pd 2.70
Ta  0.2641  0.2500  0.6250  2 Cu 2.56, 2 Ta 2.63, 2 Pd 2.70
Ta  0.7359  0.7500  0.6250  2 Cu 2.56, 2 Ta 2.63, 2 Pd 2.70
Ta  0.7500  0.2359  0.8750  2 Cu 2.56, 2 Ta 2.63, 2 Pd 2.70
Ta  0.7500  0.2641  0.3750  2 Cu 2.56, 2 Ta 2.63, 2 Pd 2.70
Ta  0.7641  0.7500  0.1250  2 Cu 2.56, 2 Ta 2.63, 2 Pd 2.70
Cu  0.0000  0.0000  0.0000  4 Ta 2.56, 2 Pd 2.63
Cu  0.0000  0.5000  0.2500  4 Ta 2.56, 2 Pd 2.63
Cu  0.5000  0.0000  0.7500  4 Ta 2.56, 2 Pd 2.63
Cu  0.5000  0.5000  0.5000  4 Ta 2.56, 2 Pd 2.63
Pd  0.0000  0.0000  0.5000  2 Cu 2.63, 4 Ta 2.70
Pd  0.0000  0.5000  0.7500  2 Cu 2.63, 4 Ta 2.70
Pd  0.5000  0.0000  0.2500  2 Cu 2.63, 4 Ta 2.70
Pd  0.5000  0.5000  0.0000  2 Cu 2.63, 4 Ta 2.70



[2]
An optimized crystal structure of TaCu2Pd3, computed with PBE.

Output
Crystal system: orthorhombic
ΔE_f, eV/atom: -0.2227
E, eV/cell: -73.92

a = 6.3965 Å, b = 6.3965 Å, c = 7.3426 Å
α = 90.00°, β = 90.00°, γ = 143.94°
With the nearest neighbours (Å) after each atom.
Fractional positions:
Ta  0.1574  0.8426  0.0000  8 Pd 2.71-2.85, 2 Cu 2.75, 2 Ta 3.00
Ta  0.8426  0.1574  0.0000  8 Pd 2.71-2.85, 2 Cu 2.75, 2 Ta 3.00
Cu  0.1727  0.8273  0.5000  8 Pd 2.68-2.74, 4 Cu 2.73-2.89
Cu  0.5000  0.5000  0.0000  8 Pd 2.73-2.76, 4 Ta 2.75
Cu  0.5000  0.5000  0.5000  8 Pd 2.64-2.70, 4 Cu 2.89
Cu  0.8273  0.1727  0.5000  8 Pd 2.68-2.74, 4 Cu 2.73-2.89
Pd  0.0000  0.0000  0.2614  6 Cu 2.64-2.76, 2 Ta 2.71, 4 Pd 2.82
Pd  0.0000  0.0000  0.7386  6 Cu 2.64-2.76, 2 Ta 2.71, 4 Pd 2.82
Pd  0.3353  0.6647  0.2531  5 Cu 2.68-2.73, 3 Ta 2.72-2.85, 4 Pd 2.82-2.87
Pd  0.3353  0.6647  0.7469  5 Cu 2.68-2.73, 3 Ta 2.72-2.85, 4 Pd 2.82-2.87
Pd  0.6647  0.3353  0.2531  5 Cu 2.68-2.73, 3 Ta 2.72-2.85, 4 Pd 2.82-2.87
Pd  0.6647  0.3353  0.7469  5 Cu 2.68-2.73, 3 Ta 2.72-2.85, 4 Pd 2.82-2.87



[3]
An optimized crystal structure of TaCuPd, computed with PBE.

Output
Crystal system: tetragonal
ΔE_f, eV/atom: -0.1261
Energy above the most stable polymorph in this dataset, meV/atom: 40.6
E, eV/cell: -43.04

a = 2.8531 Å, b = 2.8531 Å, c = 11.1386 Å
α = 90.00°, β = 90.00°, γ = 90.00°
With the nearest neighbours (Å) after each atom.
Fractional positions:
Ta  0.0000  0.0000  0.0000  4 Cu 2.74, 4 Pd 2.81, 4 Ta 2.85
Ta  0.5000  0.5000  0.5000  4 Cu 2.74, 4 Pd 2.81, 4 Ta 2.85
Cu  0.0000  0.0000  0.3335  4 Pd 2.68, 4 Ta 2.74, 4 Cu 2.85
Cu  0.5000  0.5000  0.8335  4 Pd 2.68, 4 Ta 2.74, 4 Cu 2.85
Pd  0.0000  0.0000  0.6757  4 Cu 2.68, 4 Ta 2.81, 4 Pd 2.85
Pd  0.5000  0.5000  0.1757  4 Cu 2.68, 4 Ta 2.81, 4 Pd 2.85



[4]
An optimized crystal structure of TaCuPd2, computed with PBE.

Output
Crystal system: tetragonal
ΔE_f, eV/atom: 0.2259
E, eV/cell: -101.72

a = 6.9885 Å, b = 6.9885 Å, c = 5.4247 Å
α = 90.00°, β = 90.00°, γ = 90.00°
With the nearest neighbours (Å) after each atom.
Fractional positions:
Ta  0.0000  0.0000  0.0000  4 Pd 2.59, 2 Cu 2.71
Ta  0.0000  0.5000  0.2500  4 Pd 2.59, 2 Cu 2.71
Ta  0.5000  0.0000  0.7500  4 Pd 2.59, 2 Cu 2.71
Ta  0.5000  0.5000  0.5000  4 Pd 2.59, 2 Cu 2.71
Cu  0.0000  0.0000  0.5000  4 Pd 2.54, 2 Ta 2.71
Cu  0.0000  0.5000  0.7500  4 Pd 2.54, 2 Ta 2.71
Cu  0.5000  0.0000  0.2500  4 Pd 2.54, 2 Ta 2.71
Cu  0.5000  0.5000  0.0000  4 Pd 2.54, 2 Ta 2.71
Pd  0.2450  0.7500  0.6250  2 Cu 2.54, 2 Ta 2.59, 2 Pd 2.71
Pd  0.2500  0.2450  0.3750  2 Cu 2.54, 2 Ta 2.59, 2 Pd 2.71
Pd  0.2500  0.2550  0.8750  2 Cu 2.54, 2 Ta 2.59, 2 Pd 2.71
Pd  0.2550  0.7500  0.1250  2 Cu 2.54, 2 Ta 2.59, 2 Pd 2.71
Pd  0.7450  0.2500  0.1250  2 Cu 2.54, 2 Ta 2.59, 2 Pd 2.71
Pd  0.7500  0.7450  0.8750  2 Cu 2.54, 2 Ta 2.59, 2 Pd 2.71
Pd  0.7500  0.7550  0.3750  2 Cu 2.54, 2 Ta 2.59, 2 Pd 2.71
Pd  0.7550  0.2500  0.6250  2 Cu 2.54, 2 Ta 2.59, 2 Pd 2.71



[5]
An optimized crystal structure of TaCu2Pd, computed with PBE.

Output
Crystal system: tetragonal
ΔE_f, eV/atom: 0.4511
Energy above the most stable polymorph in this dataset, meV/atom: 478.4
E, eV/cell: -93.73

a = 6.9529 Å, b = 6.9529 Å, c = 5.1791 Å
α = 90.00°, β = 90.00°, γ = 90.00°
With the nearest neighbours (Å) after each atom.
Fractional positions:
Ta  0.0000  0.0000  0.0000  4 Cu 2.56, 2 Pd 2.59
Ta  0.0000  0.5000  0.2500  4 Cu 2.56, 2 Pd 2.59
Ta  0.5000  0.0000  0.7500  4 Cu 2.56, 2 Pd 2.59
Ta  0.5000  0.5000  0.5000  4 Cu 2.56, 2 Pd 2.59
Cu  0.2457  0.2500  0.6250  2 Pd 2.52, 2 Ta 2.56, 2 Cu 2.59
Cu  0.2500  0.7457  0.8750  2 Pd 2.52, 2 Ta 2.56, 2 Cu 2.59
Cu  0.2500  0.7543  0.3750  2 Pd 2.52, 2 Ta 2.56, 2 Cu 2.59
Cu  0.2543  0.2500  0.1250  2 Pd 2.52, 2 Ta 2.56, 2 Cu 2.59
Cu  0.7457  0.7500  0.1250  2 Pd 2.52, 2 Ta 2.56, 2 Cu 2.59
Cu  0.7500  0.2457  0.3750  2 Pd 2.52, 2 Ta 2.56, 2 Cu 2.59
Cu  0.7500  0.2543  0.8750  2 Pd 2.52, 2 Ta 2.56, 2 Cu 2.59
Cu  0.7543  0.7500  0.6250  2 Pd 2.52, 2 Ta 2.56, 2 Cu 2.59
Pd  0.0000  0.0000  0.5000  4 Cu 2.52, 2 Ta 2.59
Pd  0.0000  0.5000  0.7500  4 Cu 2.52, 2 Ta 2.59
Pd  0.5000  0.0000  0.2500  4 Cu 2.52, 2 Ta 2.59
Pd  0.5000  0.5000  0.0000  4 Cu 2.52, 2 Ta 2.59



[6]
An optimized crystal structure of TaCu2Pd, computed with PBE.

Output
Crystal system: tetragonal
ΔE_f, eV/atom: -0.0205
Energy above the most stable polymorph in this dataset, meV/atom: 6.8
E, eV/cell: -25.32

a = 2.8911 Å, b = 2.8911 Å, c = 6.8890 Å
α = 90.00°, β = 90.00°, γ = 90.00°
With the nearest neighbours (Å) after each atom.
Fractional positions:
Ta  0.0000  0.0000  0.0000  8 Cu 2.73, 4 Ta 2.89
Cu  0.5000  0.5000  0.2626  4 Pd 2.62, 4 Ta 2.73, 4 Cu 2.89
Cu  0.5000  0.5000  0.7374  4 Pd 2.62, 4 Ta 2.73, 4 Cu 2.89
Pd  0.0000  0.0000  0.5000  8 Cu 2.62, 4 Pd 2.89



[7]
An optimized crystal structure of TaCu3Pd, computed with PBE.

Output
Crystal system: cubic
ΔE_f, eV/atom: 1.3081
Energy above the most stable polymorph in this dataset, meV/atom: 0.0
E, eV/cell: -22.79

a = 4.5033 Å, b = 4.5033 Å, c = 4.5033 Å
α = 90.00°, β = 90.00°, γ = 90.00°
With the nearest neighbours (Å) after each atom.
Fractional positions:
Ta  0.0000  0.0000  0.0000  12 Cu 3.18
Cu  0.0000  0.5000  0.5000  2 Pd 2.25
Cu  0.5000  0.0000  0.5000  2 Pd 2.25
Cu  0.5000  0.5000  0.0000  2 Pd 2.25
Pd  0.5000  0.5000  0.5000  6 Cu 2.25



[8]
An optimized crystal structure of TaCu2Pd5, computed with PBE.

Output
Crystal system: orthorhombic
ΔE_f, eV/atom: -0.2465
Energy above the most stable polymorph in this dataset, meV/atom: 0.0
E, eV/cell: -95.96

a = 5.4805 Å, b = 10.9144 Å, c = 3.9890 Å
α = 90.00°, β = 90.00°, γ = 90.00°
With the nearest neighbours (Å) after each atom.
Fractional positions:
Ta  0.0000  0.0000  0.0000  8 Pd 2.61-2.74, 4 Cu 2.87
Ta  0.5000  0.5000  0.0000  8 Pd 2.61-2.74, 4 Cu 2.87
Cu  0.2238  0.3713  0.5000  10 Pd 2.68-2.84, 2 Ta 2.87
Cu  0.2762  0.8713  0.5000  10 Pd 2.68-2.84, 2 Ta 2.87
Cu  0.7238  0.1287  0.5000  10 Pd 2.68-2.84, 2 Ta 2.87
Cu  0.7762  0.6287  0.5000  10 Pd 2.68-2.84, 2 Ta 2.87
Pd  0.0000  0.5000  0.0000  4 Cu 2.73, 2 Ta 2.74, 6 Pd 2.80-2.86
Pd  0.0333  0.7613  0.0000  1 Ta 2.61, 4 Cu 2.68-2.84, 7 Pd 2.75-2.86
Pd  0.2300  0.1179  0.5000  2 Ta 2.69, 4 Cu 2.70-2.78, 6 Pd 2.79-2.85
Pd  0.2700  0.6179  0.5000  2 Ta 2.69, 4 Cu 2.70-2.78, 6 Pd 2.79-2.85
Pd  0.4667  0.2613  0.0000  1 Ta 2.61, 4 Cu 2.68-2.84, 7 Pd 2.75-2.86
Pd  0.5000  0.0000  0.0000  4 Cu 2.73, 2 Ta 2.74, 6 Pd 2.80-2.86
Pd  0.5333  0.7387  0.0000  1 Ta 2.61, 4 Cu 2.68-2.84, 7 Pd 2.75-2.86
Pd  0.7300  0.3821  0.5000  2 Ta 2.69, 4 Cu 2.70-2.78, 6 Pd 2.79-2.85
Pd  0.7700  0.8821  0.5000  2 Ta 2.69, 4 Cu 2.70-2.78, 6 Pd 2.79-2.85
Pd  0.9667  0.2387  0.0000  1 Ta 2.61, 4 Cu 2.68-2.84, 7 Pd 2.75-2.86



[9]
An optimized crystal structure of TaCuPd14, computed with PBE.

Output
Crystal system: tetragonal
ΔE_f, eV/atom: -0.1637
E, eV/cell: -91.27

a = 5.6240 Å, b = 5.6240 Å, c = 7.7732 Å
α = 90.00°, β = 90.00°, γ = 90.00°
With the nearest neighbours (Å) after each atom.
Fractional positions:
Ta  0.0000  0.0000  0.0000  12 Pd 2.73-2.81
Cu  0.5000  0.5000  0.0000  12 Pd 2.75-2.81
Pd  0.0000  0.0000  0.5000  12 Pd 2.81
Pd  0.0000  0.5000  0.0000  8 Pd 2.74, 2 Ta 2.81, 2 Cu 2.81
Pd  0.0000  0.5000  0.5000  12 Pd 2.81-2.82
Pd  0.2486  0.2486  0.2426  1 Ta 2.73, 10 Pd 2.74-2.83, 1 Cu 2.75
Pd  0.2486  0.2486  0.7574  1 Ta 2.73, 10 Pd 2.74-2.83, 1 Cu 2.75
Pd  0.2486  0.7514  0.2426  1 Ta 2.73, 10 Pd 2.74-2.83, 1 Cu 2.75
Pd  0.2486  0.7514  0.7574  1 Ta 2.73, 10 Pd 2.74-2.83, 1 Cu 2.75
Pd  0.5000  0.0000  0.0000  8 Pd 2.74, 2 Ta 2.81, 2 Cu 2.81
Pd  0.5000  0.0000  0.5000  12 Pd 2.81-2.82
Pd  0.5000  0.5000  0.5000  12 Pd 2.81-2.83
Pd  0.7514  0.2486  0.2426  1 Ta 2.73, 10 Pd 2.74-2.83, 1 Cu 2.75
Pd  0.7514  0.2486  0.7574  1 Ta 2.73, 10 Pd 2.74-2.83, 1 Cu 2.75
Pd  0.7514  0.7514  0.2426  1 Ta 2.73, 10 Pd 2.74-2.83, 1 Cu 2.75
Pd  0.7514  0.7514  0.7574  1 Ta 2.73, 10 Pd 2.74-2.83, 1 Cu 2.75



[10]
An optimized crystal structure of TaCu2Pd8, computed with PBE.

Output
Crystal system: orthorhombic
ΔE_f, eV/atom: -0.1371
Energy above the most stable polymorph in this dataset, meV/atom: 0.0
E, eV/cell: -63.10

a = 6.5689 Å, b = 6.5689 Å, c = 4.1325 Å
α = 90.00°, β = 90.00°, γ = 105.35°
With the nearest neighbours (Å) after each atom.
Fractional positions:
Ta  0.0000  0.0000  0.0000  12 Pd 2.64-2.84
Cu  0.3847  0.6153  0.5000  1 Cu 2.41, 4 Pd 2.48-2.62
Cu  0.6153  0.3847  0.5000  1 Cu 2.41, 4 Pd 2.48-2.62
Pd  0.0398  0.3046  0.5000  1 Cu 2.62, 7 Pd 2.74-2.79, 2 Ta 2.84
Pd  0.2528  0.7472  0.0000  2 Cu 2.48, 1 Ta 2.64, 4 Pd 2.78
Pd  0.3046  0.0398  0.5000  1 Cu 2.62, 7 Pd 2.74-2.79, 2 Ta 2.84
Pd  0.3313  0.3313  0.0000  1 Ta 2.64, 7 Pd 2.69-2.91, 4 Cu 2.74
Pd  0.6687  0.6687  0.0000  1 Ta 2.64, 7 Pd 2.69-2.91, 4 Cu 2.74
Pd  0.6954  0.9602  0.5000  1 Cu 2.62, 7 Pd 2.74-2.79, 2 Ta 2.84
Pd  0.7472  0.2528  0.0000  2 Cu 2.48, 1 Ta 2.64, 4 Pd 2.78
Pd  0.9602  0.6954  0.5000  1 Cu 2.62, 7 Pd 2.74-2.79, 2 Ta 2.84



[11]
An optimized crystal structure of TaCuPd, computed with PBE.

Output
Crystal system: hexagonal
ΔE_f, eV/atom: -0.1667
Energy above the most stable polymorph in this dataset, meV/atom: 0.0
E, eV/cell: -21.64

a = 4.3753 Å, b = 4.3753 Å, c = 2.7216 Å
α = 90.00°, β = 90.00°, γ = 120.00°
With the nearest neighbours (Å) after each atom.
Fractional positions:
Ta  0.0000  0.0000  0.0000  2 Ta 2.72, 6 Cu 2.87, 6 Pd 2.87
Cu  0.3333  0.6667  0.5000  3 Pd 2.53, 2 Cu 2.72
Pd  0.6667  0.3333  0.5000  3 Cu 2.53, 2 Pd 2.72



[12]
An optimized crystal structure of TaCuPd6, computed with PBE.

Output
Crystal system: tetragonal
ΔE_f, eV/atom: -0.3271
Energy above the most stable polymorph in this dataset, meV/atom: 0.0
E, eV/cell: -49.72

a = 3.9509 Å, b = 3.9509 Å, c = 7.7882 Å
α = 90.00°, β = 90.00°, γ = 90.00°
With the nearest neighbours (Å) after each atom.
Fractional positions:
Ta  0.0000  0.0000  0.0000  12 Pd 2.76-2.79
Cu  0.0000  0.0000  0.5000  12 Pd 2.79
Pd  0.0000  0.5000  0.2477  2 Ta 2.76, 8 Pd 2.76-2.79, 2 Cu 2.79
Pd  0.0000  0.5000  0.7523  2 Ta 2.76, 8 Pd 2.76-2.79, 2 Cu 2.79
Pd  0.5000  0.0000  0.2477  2 Ta 2.76, 8 Pd 2.76-2.79, 2 Cu 2.79
Pd  0.5000  0.0000  0.7523  2 Ta 2.76, 8 Pd 2.76-2.79, 2 Cu 2.79
Pd  0.5000  0.5000  0.0000  8 Pd 2.76, 4 Ta 2.79
Pd  0.5000  0.5000  0.5000  8 Pd 2.79, 4 Cu 2.79